GGA-PBE NdZr2B6, optimized geometry; VASP energy = -68.124 eV per cell; symmetry = P6/mmm (191); spin magnetization = 0.00 μB/cell; formation energy = -0.688 eV/atom
1.0
-0.7702 3.3672 -1.4219
-5.1981 -1.7361 -1.2957
1.0152 2.3504 5.0158
Nd Zr B
1 2 6
Direct
0.0000 0.0000 0.0000
0.0000 0.3333 0.6667
0.0000 0.6667 0.3333
0.5000 0.3416 0.3416
0.5000 0.6584 0.6584
0.5000 0.0000 0.6584
0.5000 0.6584 0.0000
0.5000 0.3416 0.0000
0.5000 0.0000 0.3416